Entry 1:
The following is a DFT calculation (PBE-GGA) of an optimized crystal structure of LiHoS2.

Calculated values
M_tot: 0.000 μB per atom
Volume: 81.1 Å³/cell
Uncorrected formation energy: -1.8544 eV/atom

Lattice parameters (Å, degrees): 6.5667 6.5667 6.5667 34.51 34.51 34.51
With the nearest neighbours (Å) after each atom.
Fractional positions:
Li: 0.0000 0.0000 0.0000  6 S 2.73
Ho: 0.5000 0.5000 0.5000  6 S 2.73
S: 0.2498 0.2498 0.2498  3 Ho 2.73, 3 Li 2.73
S: 0.7502 0.7502 0.7502  3 Ho 2.73, 3 Li 2.73

***

Entry 2:
The following is a DFT calculation (PBE-GGA) of an optimized crystal structure of Nb2Si2Ir.

Calculated values
M_tot: 0.000 μB per atom
Volume: 153.6 Å³/cell
Uncorrected formation energy: -0.6830 eV/atom

Lattice parameters (Å, degrees): 6.1479 6.1479 4.0640 90.00 90.00 90.00
With the nearest neighbours (Å) after each atom.
Fractional positions:
Nb: 0.1654 0.3346 0.0000  6 Si 2.67-2.75, 1 Nb 2.88
Nb: 0.3346 0.8346 0.0000  6 Si 2.67-2.75, 1 Nb 2.88
Nb: 0.6654 0.1654 0.0000  6 Si 2.67-2.75, 1 Nb 2.88
Nb: 0.8346 0.6654 0.0000  6 Si 2.67-2.75, 1 Nb 2.88
Si: 0.1351 0.6351 0.5000  1 Si 2.35, 2 Ir 2.39
Si: 0.3649 0.1351 0.5000  1 Si 2.35, 2 Ir 2.39
Si: 0.6351 0.8649 0.5000  1 Si 2.35, 2 Ir 2.39
Si: 0.8649 0.3649 0.5000  1 Si 2.35, 2 Ir 2.39
Ir: 0.0000 0.0000 0.5000  4 Si 2.39
Ir: 0.5000 0.5000 0.5000  4 Si 2.39

***

Entry 3:
The following is a DFT calculation (PBE-GGA) of an optimized crystal structure of KSn3Pb.

Calculated values
M_tot: 0.000 μB per atom
Distance to the lowest polymorph of the same formula: 1050.4 meV/atom
Formation energy: 0.981 eV per atom
Volume: 197.5 Å³/cell

Lattice parameters (Å, degrees): 5.8231 5.8231 5.8231 90.00 90.00 90.00
With the nearest neighbours (Å) after each atom.
Fractional positions:
K: 0.0000 0.0000 0.0000  6 Sn 2.91
Sn: 0.0000 0.0000 0.5000  2 K 2.91
Sn: 0.0000 0.5000 0.0000  2 K 2.91
Sn: 0.5000 0.0000 0.0000  2 K 2.91
Pb: 0.5000 0.5000 0.5000  12 Sn 4.12